(1)
Zr4Cl (PBE-GGA, optimized geometry); SG = Pm-3m (221); total DFT energy (no corrections) = -7.32 eV per atom; E_form (uncorrected) = -113 meV/atom; excess energy over the best structure of this formula in the dataset = 0 meV per atom
1.0
4.8442 0.0000 0.0000
0.0000 4.8442 0.0000
0.0000 0.0000 4.8442
Zr Cl
4 1
direct
0.0000 0.0000 0.0000
0.0000 0.5000 0.5000
0.5000 0.0000 0.5000
0.5000 0.5000 0.0000
0.5000 0.5000 0.5000

(2)
NaHf2UO8 (PBE-GGA, optimized geometry); SG = Cmmm (65); total DFT energy (no corrections) = -8.92 eV per atom; E_form (uncorrected) = -2910 meV/atom
1.0
3.5127 -3.5918 0.0000
3.5127 3.5918 0.0000
0.0000 0.0000 6.5758
Na Hf U O
1 2 1 8
direct
0.0000 0.0000 0.0000
0.5000 0.5000 0.2362
0.5000 0.5000 0.7638
0.0000 0.0000 0.5000
0.2054 0.2054 0.2831
0.2054 0.2054 0.7169
0.3057 0.6943 0.5000
0.3217 0.6783 0.0000
0.6783 0.3217 0.0000
0.6943 0.3057 0.5000
0.7946 0.7946 0.2831
0.7946 0.7946 0.7169

(3)
TlNiTe4 (PBE-GGA, optimized geometry); SG = F-43m (216); total DFT energy (no corrections) = -2.83 eV per atom; E_form (uncorrected) = 626 meV/atom
1.0
0.0000 4.5304 4.5304
4.5304 0.0000 4.5304
4.5304 4.5304 0.0000
Tl Ni Te
1 1 4
direct
0.0000 0.0000 0.0000
0.7500 0.7500 0.7500
0.3762 0.3762 0.3762
0.3762 0.3762 0.8715
0.3762 0.8715 0.3762
0.8715 0.3762 0.3762

Which formula does entry 1 have? Zr4Cl